(1)
TbBr (PBE, relaxed); space-group type = R-3m; mass density = 6.36 g/cm3; electronic total energy = -17.40 eV for the cell shown; M_tot = 0.37 μB/atom
1.0
1.908 1.102 9.883
-1.908 1.102 9.883
0.000 -2.203 9.883
Tb Br
2 2
Cartesian
0.000 0.000 3.551
0.000 0.000 26.099
0.000 0.000 11.509
0.000 0.000 18.141

***

(2)
PdO3 (PBE, relaxed); space-group type = P1; mass density = 5.64 g/cm3; electronic total energy = -78.13 eV for the cell shown
1.0
5.305 0.000 0.000
2.574 4.701 0.000
1.672 0.063 7.299
Pd O
4 12
Cartesian
0.000 0.000 0.000
2.897 3.130 5.113
2.951 0.100 5.021
4.733 3.284 1.594
1.198 0.070 3.997
1.208 0.102 2.641
2.893 2.794 0.637
4.617 2.810 6.558
4.032 1.816 4.044
3.797 1.829 2.737
2.924 0.062 0.239
7.189 4.689 6.151
6.389 3.308 3.863
6.483 3.665 2.584
7.023 1.934 6.480
5.800 1.980 0.509

***

(3)
GdMgTeO (PBE, relaxed); space-group type = R-3m; mass density = 4.93 g/cm3; electronic total energy = -40.23 eV for the cell shown; M_tot = 0.13 μB/atom
1.0
2.552 1.474 9.715
-2.552 1.474 9.715
0.000 -2.947 9.715
Gd Mg Te O
2 2 2 2
Cartesian
0.000 0.000 6.787
0.000 0.000 22.359
0.000 0.000 10.742
0.000 0.000 18.404
0.000 0.000 3.380
0.000 0.000 25.766
0.000 0.000 8.853
0.000 0.000 20.292

***

(4)
RbTcAgS3 (PBE, relaxed); space-group type = Pnma; mass density = 4.86 g/cm3; electronic total energy = -117.43 eV for the cell shown; M_tot = 0.11 μB/atom
1.0
13.506 0.000 0.000
0.000 3.580 0.000
0.000 0.000 10.959
Rb Tc Ag S
4 4 4 12
Cartesian
1.860 0.895 0.452
4.893 2.685 5.931
8.613 0.895 5.028
11.646 2.685 10.507
0.245 2.685 6.598
6.508 0.895 1.119
6.998 2.685 9.840
13.261 0.895 4.361
3.248 2.685 3.077
3.505 0.895 8.556
10.001 2.685 2.403
10.258 0.895 7.882
0.818 2.685 2.984
1.612 0.895 5.717
1.777 2.685 8.582
4.976 0.895 3.103
5.141 2.685 0.238
5.935 0.895 8.464
7.571 2.685 2.495
8.365 0.895 10.720
8.530 2.685 7.856
11.729 0.895 2.376
11.894 2.685 5.241
12.688 0.895 7.974

***

(5)
Sc3CdC (PBE, relaxed); space-group type = I4/mcm; mass density = 4.55 g/cm3; electronic total energy = -62.89 eV for the cell shown; M_tot = 0.14 μB/atom
1.0
-3.214 3.214 4.578
3.214 -3.214 4.578
3.214 3.214 -4.578
Sc Cd C
6 2 2
Cartesian
4.688 1.473 0.000
0.000 0.000 2.289
1.473 1.741 0.000
1.741 1.473 4.578
0.000 0.000 6.867
-1.473 1.741 4.578
3.214 0.000 2.289
0.000 3.214 2.289
0.000 0.000 0.000
0.000 0.000 4.578

***

(6)
YErBC2 (PBE, relaxed); space-group type = Cm; mass density = 6.79 g/cm3; electronic total energy = -38.47 eV for the cell shown; M_tot = 0.01 μB/atom
1.0
2.544 -2.543 0.000
2.544 2.543 0.000
-2.469 0.000 5.499
Y Er B C
1 1 1 2
Cartesian
0.000 0.000 0.000
0.076 0.000 3.276
2.581 0.000 1.624
2.549 0.000 0.132
2.614 0.000 3.118

***

(7)
InCu5Pd6 (PBE, relaxed); space-group type = P2/m; mass density = 10.36 g/cm3; electronic total energy = -55.27 eV for the cell shown
1.0
4.315 0.000 0.000
0.000 6.150 0.000
-2.142 0.000 6.471
In Cu Pd
1 5 6
Cartesian
0.000 0.000 0.000
0.000 3.075 0.000
0.011 0.000 4.286
0.010 3.075 4.331
2.163 3.075 2.140
2.162 0.000 2.184
0.005 1.578 2.203
0.005 4.572 2.203
2.158 1.601 0.000
2.158 4.549 0.000
2.169 1.578 4.267
2.169 4.572 4.267

***

(8)
PaCdNO (PBE, relaxed); space-group type = Pmc2_1; mass density = 8.49 g/cm3; electronic total energy = -53.85 eV for the cell shown; M_tot = 0.00 μB/atom
1.0
3.883 0.000 0.000
0.000 5.895 0.000
0.000 0.000 6.386
Pa Cd N O
2 2 2 2
Cartesian
0.000 1.137 0.000
0.000 4.757 3.193
1.941 1.423 2.998
1.941 4.471 6.191
0.000 0.786 4.274
0.000 5.109 1.081
1.941 2.215 0.037
1.941 3.679 3.230

***

(9)
ReAsOsO (PBE, relaxed); space-group type = P4/nmm; mass density = 15.33 g/cm3; electronic total energy = -65.07 eV for the cell shown; M_tot = 0.00 μB/atom
1.0
3.929 0.000 0.000
0.000 3.929 0.000
0.000 0.000 6.558
Re As Os O
2 2 2 2
Cartesian
0.982 0.982 1.196
2.947 2.947 5.362
0.982 0.982 4.851
2.947 2.947 1.708
0.982 2.947 3.279
2.947 0.982 3.279
0.982 2.947 0.000
2.947 0.982 0.000

***

(10)
Pu2ReB6 (PBE, relaxed); space-group type = Pbam; mass density = 12.71 g/cm3; electronic total energy = -342.81 eV for the cell shown; M_tot = 0.99 μB/atom
1.0
9.298 0.000 0.000
0.000 11.411 0.000
0.000 0.000 3.640
Pu Re B
8 4 24
Cartesian
0.428 1.246 0.000
1.535 4.657 0.000
3.114 10.363 0.000
4.221 6.952 0.000
5.077 4.459 0.000
6.184 1.048 0.000
7.763 6.754 0.000
8.870 10.165 0.000
1.344 7.761 0.000
3.305 2.055 0.000
5.993 9.356 0.000
7.954 3.651 0.000
0.117 3.217 1.820
0.485 6.483 1.820
1.300 10.970 1.820
1.327 9.263 1.820
1.845 2.597 1.820
2.269 6.586 1.820
2.380 0.880 1.820
2.803 8.302 1.820
3.322 3.558 1.820
3.349 5.265 1.820
4.163 0.777 1.820
4.532 8.923 1.820
4.766 2.488 1.820
5.134 10.634 1.820
5.948 6.147 1.820
5.976 7.854 1.820
6.494 3.109 1.820
6.918 10.531 1.820
7.028 4.826 1.820
7.452 8.815 1.820
7.971 2.148 1.820
7.998 0.441 1.820
8.812 4.929 1.820
9.181 8.194 1.820

***

(11)
PrNdCo2Ge4 (PBE, relaxed); space-group type = Pm; mass density = 7.69 g/cm3; electronic total energy = -47.52 eV for the cell shown; M_tot = 0.00 μB/atom
1.0
4.250 0.000 0.000
0.000 4.242 0.000
-2.112 0.000 8.312
Pr Nd Co Ge
1 1 2 4
Cartesian
0.000 0.000 0.000
0.055 2.121 3.611
0.056 2.121 7.062
2.130 0.000 4.850
0.007 0.000 5.956
2.110 2.121 1.044
2.197 0.000 2.568
2.181 2.121 5.950

***

(12)
Ta3Ga2MoC2 (PBE, relaxed); space-group type = P3m1; mass density = 11.71 g/cm3; electronic total energy = -74.24 eV for the cell shown; M_tot = 0.00 μB/atom
1.0
3.130 0.000 0.000
-1.565 2.711 0.000
0.000 0.000 13.408
Ta Ga Mo C
3 2 1 2
Cartesian
0.000 0.000 0.000
0.000 0.000 4.320
0.000 1.807 10.955
0.000 0.000 8.759
0.000 1.807 2.156
0.000 1.807 6.673
1.565 0.904 5.542
1.565 0.904 12.184

***

(13)
CdRePO (PBE, relaxed); space-group type = P4/nmm; mass density = 9.14 g/cm3; electronic total energy = -44.84 eV for the cell shown; M_tot = 0.00 μB/atom
1.0
3.462 0.000 0.000
0.000 3.462 0.000
0.000 0.000 10.474
Cd Re P O
2 2 2 2
Cartesian
0.866 2.597 0.000
2.597 0.866 0.000
0.866 0.866 3.971
2.597 2.597 6.503
0.866 0.866 7.667
2.597 2.597 2.807
0.866 2.597 5.237
2.597 0.866 5.237

***

(14)
NdHo3Pa (PBE, relaxed); space-group type = Pm-3m; mass density = 8.31 g/cm3; M_tot = 0.65 μB/atom; formation energy = 1065 meV per atom
1.0
5.580 0.000 0.000
0.000 5.580 0.000
0.000 0.000 5.580
Nd Ho Pa
1 3 1
Cartesian
0.000 0.000 0.000
0.000 0.000 2.790
0.000 2.790 0.000
2.790 0.000 0.000
2.790 2.790 2.790

***

(15)
YRe2As4 (PBE, relaxed); space-group type = C2/m; mass density = 9.83 g/cm3; electronic total energy = -50.74 eV for the cell shown; M_tot = 0.00 μB/atom
1.0
4.975 -3.213 0.000
4.975 3.213 0.000
-1.626 0.000 4.021
Y Re As
1 2 4
Cartesian
0.000 0.000 0.000
2.243 0.000 3.447
6.082 0.000 0.574
2.910 1.443 1.377
5.415 1.443 2.645
2.910 -1.443 1.377
5.415 -1.443 2.645

***

(16)
KSr2Cd2Sb3 (PBE, relaxed); space-group type = Pnma; mass density = 5.20 g/cm3; electronic total energy = -97.09 eV for the cell shown
1.0
12.782 0.000 0.000
0.000 4.880 0.000
0.000 0.000 16.486
K Sr Cd Sb
4 8 8 12
Cartesian
1.183 1.220 0.799
5.208 3.660 9.042
7.575 1.220 7.444
11.599 3.660 15.687
1.301 3.660 7.021
1.723 1.220 12.900
4.668 3.660 4.657
5.090 1.220 15.264
7.692 3.660 1.222
8.114 1.220 11.829
11.059 3.660 3.586
11.481 1.220 9.465
1.691 1.220 4.657
2.530 1.220 9.523
3.861 3.660 1.280
4.700 3.660 12.900
8.083 1.220 3.586
8.922 1.220 15.206
10.252 3.660 6.963
11.091 3.660 11.829
1.009 3.660 10.379
1.588 3.660 3.181
2.662 3.660 15.107
3.729 1.220 6.864
4.803 1.220 11.424
5.382 1.220 2.136
7.400 3.660 14.350
7.979 3.660 5.062
9.053 3.660 9.622
10.121 1.220 1.379
11.194 1.220 13.305
11.773 1.220 6.107

***

(17)
Li4SiPd2Au (PBE, relaxed); space-group type = P-4m2; mass density = 6.84 g/cm3; electronic total energy = -30.93 eV for the cell shown
1.0
4.299 0.000 0.000
0.000 4.299 0.000
0.000 0.000 6.116
Li Si Pd Au
4 1 2 1
Cartesian
0.000 0.000 0.000
0.000 2.149 1.520
2.149 0.000 4.597
2.149 2.149 3.058
0.000 0.000 3.058
0.000 2.149 4.286
2.149 0.000 1.830
2.149 2.149 0.000

***

(18)
Be2HgPt (PBE, relaxed); space-group type = F-43m; mass density = 11.99 g/cm3; electronic total energy = -12.79 eV for the cell shown; M_tot = 0.00 μB/atom
1.0
0.000 3.059 3.059
3.059 0.000 3.059
3.059 3.059 0.000
Be Hg Pt
2 1 1
Cartesian
0.000 0.000 0.000
1.530 1.530 1.530
4.589 4.589 4.589
3.059 3.059 3.059

***

(19)
LuCoAsAu (PBE, relaxed); space-group type = F-43m; mass density = 11.97 g/cm3; electronic total energy = -20.82 eV for the cell shown; M_tot = 0.37 μB/atom
1.0
0.000 3.273 3.273
3.273 0.000 3.273
3.273 3.273 0.000
Lu Co As Au
1 1 1 1
Cartesian
0.000 0.000 0.000
3.273 3.273 3.273
1.637 1.637 1.637
4.910 4.910 4.910

***

(20)
LiTmAsO (PBE, relaxed); space-group type = Pmc2_1; mass density = 5.86 g/cm3; electronic total energy = -45.22 eV for the cell shown; M_tot = 0.00 μB/atom
1.0
3.334 0.000 0.000
0.000 6.667 0.000
0.000 0.000 6.798
Li Tm As O
2 2 2 2
Cartesian
0.000 1.058 0.000
0.000 5.609 3.399
1.667 3.165 4.745
1.667 3.502 1.346
0.000 1.552 2.940
0.000 5.116 6.340
1.667 2.046 6.562
1.667 4.621 3.163

***

(21)
ErH4NCl4 (PBE, relaxed); space-group type = I4_1/a; mass density = 2.86 g/cm3; electronic total energy = -92.49 eV for the cell shown; M_tot = 0.00 μB/atom
1.0
-3.584 3.584 7.394
3.584 -3.584 7.394
3.584 3.584 -7.394
Er H N Cl
2 8 2 8
Cartesian
0.000 1.792 1.849
3.584 1.792 5.546
3.271 -1.007 2.445
2.799 1.479 -1.252
3.271 2.577 -2.445
4.369 2.105 -1.252
-0.785 1.479 8.646
0.313 1.007 9.839
0.785 2.105 8.646
0.313 4.591 4.949
3.584 1.792 -1.849
0.000 1.792 9.243
5.530 0.494 0.449
1.298 0.155 3.248
4.881 0.155 4.146
1.637 3.089 0.449
1.947 0.494 6.945
-1.298 3.429 3.248
2.286 3.429 4.146
-1.947 3.089 6.945